Material: La2Zr2Ni
Method: DFT, PBE
State: relaxed

abc: 6.923 6.923 5.420
angles: 90.00 90.00 90.00
Fractional positions:
1 La 0.167 0.333 0.000
2 La 0.333 0.833 0.000
3 La 0.667 0.167 0.000
4 La 0.833 0.667 0.000
5 Zr 0.155 0.655 0.500
6 Zr 0.345 0.155 0.500
7 Zr 0.655 0.845 0.500
8 Zr 0.845 0.345 0.500
9 Ni 0.000 0.000 0.500
10 Ni 0.500 0.500 0.500

The calculation puts the final energy at -6.46 eV/atom. The value obtained for the formation energy is 0.083 eV/atom. The calculation puts the total magnetic moment at 0.00 μB per formula unit.


Material: LaNp4
Method: DFT, PBE
State: relaxed

abc: 5.397 5.397 5.397
angles: 90.00 90.00 90.00
Fractional positions:
1 La 0.000 0.000 0.000
2 Np 0.000 0.000 0.500
3 Np 0.000 0.500 0.000
4 Np 0.500 0.000 0.000
5 Np 0.500 0.500 0.500

The calculation puts the final energy at -9.74 eV/atom. The value obtained for the formation energy is 1.602 eV/atom. The calculation puts the total magnetic moment at 18.83 μB per formula unit.


Material: LaNp2O11
Method: DFT, PBE
State: relaxed

abc: 7.564 8.427 8.515
angles: 93.79 103.70 103.76
Fractional positions:
1 La 0.000 0.000 0.000
2 La 0.422 0.678 0.397
3 Np 0.472 0.656 0.902
4 Np 0.482 0.191 0.368
5 Np 0.970 0.018 0.494
6 Np 0.989 0.493 0.995
7 O 0.020 0.047 0.724
8 O 0.045 0.731 0.028
9 O 0.136 0.506 0.214
10 O 0.141 0.750 0.669
11 O 0.155 0.804 0.522
12 O 0.208 0.162 0.505
13 O 0.253 0.486 0.888
14 O 0.273 0.180 0.188
15 O 0.285 0.840 0.794
16 O 0.412 0.957 0.342
17 O 0.450 0.607 0.676
18 O 0.488 0.709 0.125
19 O 0.526 0.422 0.405
20 O 0.553 0.325 0.050
21 O 0.657 0.257 0.161
22 O 0.661 0.467 0.007
23 O 0.682 0.836 0.915
24 O 0.724 0.184 0.490
25 O 0.752 0.844 0.483
26 O 0.867 0.493 0.783
27 O 0.916 0.994 0.265
28 O 0.923 0.257 0.972

The calculation puts the final energy at -8.23 eV/atom. The calculation puts the total magnetic moment at 1.01 μB per formula unit.